# ZnSb2Pb meta-GGA SCAN single point on PBEsol structure
data_ZnSb2Pb
_space_group_name_H-M_alt 'P m m m'
_space_group_IT_number 47
_space_group_name_Hall '-P 2 2'
_cell_length_a 4.029
_cell_length_b 4.750
_cell_length_c 5.273
_cell_angle_alpha 90.00
_cell_angle_beta 90.00
_cell_angle_gamma 90.00
loop_
_atom_site_label
_atom_site_type_symbol
_atom_site_fract_x
_atom_site_fract_y
_atom_site_fract_z
Zn1 Zn 0.000 0.000 0.000
Sb1 Sb 0.000 0.500 0.500
Sb2 Sb 0.500 0.000 0.500
Pb1 Pb 0.500 0.500 0.000
# * total DFT energy (no corrections): -1.49551 hartree per atom
# * density: 8.5 g/cm3
# * ΔE_f (raw): 0.260 eV/atom

=====

# Ag2WAu meta-GGA SCAN single point on PBEsol structure
data_Ag2WAu
_space_group_name_H-M_alt 'I m m m'
_space_group_IT_number 71
_space_group_name_Hall '-I 2 2'
_cell_length_a 2.714
_cell_length_b 4.916
_cell_length_c 9.982
_cell_angle_alpha 90.00
_cell_angle_beta 90.00
_cell_angle_gamma 90.00
loop_
_atom_site_label
_atom_site_type_symbol
_atom_site_fract_x
_atom_site_fract_y
_atom_site_fract_z
Ag1 Ag 0.000 0.000 0.248
W1 W 0.000 0.500 0.500
Au1 Au 0.000 0.500 0.000
# * total DFT energy (no corrections): -1.83339 hartree per atom
# * density: 14.9 g/cm3
# * ΔE_f: 0.506 eV/atom

=====

# Ti2GaRuPb meta-GGA SCAN single point on PBEsol structure
data_Ti2GaRuPb
_space_group_name_H-M_alt 'P 4/m m m'
_space_group_IT_number 123
_space_group_name_Hall '-P 4 2'
_cell_length_a 5.034
_cell_length_b 5.034
_cell_length_c 4.832
_cell_angle_alpha 90.00
_cell_angle_beta 90.00
_cell_angle_gamma 90.00
loop_
_atom_site_label
_atom_site_type_symbol
_atom_site_fract_x
_atom_site_fract_y
_atom_site_fract_z
Ti1 Ti 0.000 0.500 0.000
Ga1 Ga 0.000 0.000 0.500
Ru1 Ru 0.500 0.500 0.500
Pb1 Pb 0.000 0.000 0.000
# * total DFT energy (no corrections): -1.10944 hartree per atom
# * density: 6.4 g/cm3
# * ΔE_f: 1.613 eV/atom

=====

# BaMg4Sc meta-GGA SCAN single point on PBEsol structure
data_BaMg4Sc
_space_group_name_H-M_alt 'F -4 3 m'
_space_group_IT_number 216
_space_group_name_Hall 'F -4 2 3'
_cell_length_a 8.673
_cell_length_b 8.673
_cell_length_c 8.673
_cell_angle_alpha 90.00
_cell_angle_beta 90.00
_cell_angle_gamma 90.00
loop_
_atom_site_label
_atom_site_type_symbol
_atom_site_fract_x
_atom_site_fract_y
_atom_site_fract_z
Ba1 Ba 0.000 0.000 0.000
Mg1 Mg 0.124 0.124 0.624
Sc1 Sc 0.250 0.250 0.250
# * total DFT energy (no corrections): -0.44977 hartree per atom
# * density: 2.8 g/cm3
# * ΔE_f: 0.041 eV/atom

=====

# AlOs3Rh meta-GGA SCAN single point on PBEsol structure
data_AlOs3Rh
_space_group_name_H-M_alt 'P m -3 m'
_space_group_IT_number 221
_space_group_name_Hall '-P 4 2 3'
_cell_length_a 4.589
_cell_length_b 4.589
_cell_length_c 4.589
_cell_angle_alpha 90.00
_cell_angle_beta 90.00
_cell_angle_gamma 90.00
loop_
_atom_site_label
_atom_site_type_symbol
_atom_site_fract_x
_atom_site_fract_y
_atom_site_fract_z
Al1 Al 0.000 0.000 0.000
Os1 Os 0.000 0.500 0.500
Rh1 Rh 0.500 0.500 0.500
# * total DFT energy (no corrections): -1.80134 hartree per atom
# * density: 12.0 g/cm3
# * ΔE_f: 2.416 eV/atom

=====

# ZrCrCd2 meta-GGA SCAN single point on PBEsol structure
data_ZrCrCd2
_space_group_name_H-M_alt 'F m -3 m'
_space_group_IT_number 225
_space_group_name_Hall '-F 4 2 3'
_cell_length_a 6.716
_cell_length_b 6.716
_cell_length_c 6.716
_cell_angle_alpha 90.00
_cell_angle_beta 90.00
_cell_angle_gamma 90.00
loop_
_atom_site_label
_atom_site_type_symbol
_atom_site_fract_x
_atom_site_fract_y
_atom_site_fract_z
Zr1 Zr 0.000 0.000 0.000
Cr1 Cr 0.000 0.000 0.500
Cd1 Cd 0.250 0.250 0.250
# * total DFT energy (no corrections): -1.00989 hartree per atom
# * density: 8.1 g/cm3
# * ΔE_f: -0.003 eV/atom

=====

# MoP2Os meta-GGA SCAN single point on PBEsol structure
data_MoP2Os
_space_group_name_H-M_alt 'R -3 m'
_space_group_IT_number 166
_space_group_name_Hall '-R 3 2"'
_cell_length_a 2.8741
_cell_length_b 2.8741
_cell_length_c 22.4260
_cell_angle_alpha 90.00
_cell_angle_beta 90.00
_cell_angle_gamma 120.00
loop_
_atom_site_label
_atom_site_type_symbol
_atom_site_fract_x
_atom_site_fract_y
_atom_site_fract_z
Mo1 Mo 0.0000 0.0000 0.0000
P1 P 0.0000 0.0000 0.2490
Os1 Os 0.0000 0.0000 0.5000
# * total DFT energy (no corrections): -1.16984 hartree per atom
# * density: 10.8 g/cm3
# * ΔE_f: 0.058 eV/atom

=====

# CaCd2Ir meta-GGA SCAN single point on PBEsol structure
data_CaCd2Ir
_space_group_name_H-M_alt 'P 4/m m m'
_space_group_IT_number 123
_space_group_name_Hall '-P 4 2'
_cell_length_a 3.537
_cell_length_b 3.537
_cell_length_c 6.398
_cell_angle_alpha 90.00
_cell_angle_beta 90.00
_cell_angle_gamma 90.00
loop_
_atom_site_label
_atom_site_type_symbol
_atom_site_fract_x
_atom_site_fract_y
_atom_site_fract_z
Ca1 Ca 0.000 0.000 0.000
Cd1 Cd 0.500 0.500 0.286
Ir1 Ir 0.000 0.000 0.500
# * total DFT energy (no corrections): -1.30229 hartree per atom
# * density: 9.5 g/cm3
# * ΔE_f: -0.039 eV/atom